AcYCdSi | PBE | relaxed

Results
For the density of states at the Fermi level, the calculation gives 2.6 states/eV/cell. Its formation energy from raw total energies is -0.310 eV per atom.

Lattice parameters (Å, degrees): 5.367 5.367 5.367 60.00 60.00 60.00
Atoms (fractional coordinates):
Ac 0.000 0.000 0.000
Y 0.500 0.500 0.500
Cd 0.750 0.750 0.750
Si 0.250 0.250 0.250

=====

Ac4SmCd | PBE | relaxed

Results
For the density of states at the Fermi level, the calculation gives 8.7 states/eV/cell. Its energy of formation is -0.0788 eV/atom. The value obtained for the offset from the most stable computed form is 0.00 eV per formula unit.

Lattice parameters (Å, degrees): 3.967 3.967 14.996 90.00 90.00 90.00
Atoms (fractional coordinates):
Ac 0.000 0.000 0.142
Ac 0.000 0.000 0.858
Ac 0.500 0.500 0.330
Ac 0.500 0.500 0.670
Sm 0.000 0.000 0.500
Cd 0.500 0.500 0.000

=====

Ac2Sm2Cd3 | PBE | relaxed

Results
For the density of states at the Fermi level, the calculation gives 23.1 states/eV/cell. Its energy of formation is -0.0927 eV/atom.

Lattice parameters (Å, degrees): 8.467 8.467 8.467 109.47 109.47 109.47
Atoms (fractional coordinates):
Ac 0.000 0.341 0.500
Ac 0.159 0.159 0.159
Ac 0.341 0.500 0.000
Ac 0.500 0.000 0.341
Sm 0.000 0.861 0.500
Sm 0.500 0.000 0.861
Sm 0.639 0.639 0.639
Sm 0.861 0.500 0.000
Cd 0.106 0.750 0.856
Cd 0.250 0.644 0.394
Cd 0.394 0.250 0.644
Cd 0.644 0.394 0.250
Cd 0.750 0.856 0.106
Cd 0.856 0.106 0.750

=====

Ac6SmCd2 | PBE | relaxed

Results
For the density of states at the Fermi level, the calculation gives 10.2 states/eV/cell. Its energy of formation is -0.1068 eV/atom.

Lattice parameters (Å, degrees): 7.221 7.221 13.084 107.58 107.58 32.59
Atoms (fractional coordinates):
Ac 0.028 0.028 0.331
Ac 0.313 0.313 0.408
Ac 0.319 0.319 0.122
Ac 0.681 0.681 0.878
Ac 0.687 0.687 0.592
Ac 0.972 0.972 0.669
Sm 0.000 0.000 0.000
Cd 0.358 0.358 0.814
Cd 0.642 0.642 0.186